Density functional theory data (PBE-GGA) for a relaxed Rb2SrBF6 crystal.

a b c (Å): 5.6523 5.6523 7.3682
angles (deg): 67.45 67.45 90.00
Closest atoms and distances in Å follow each position.
Positions (direct):
1 F 0.8076 0.8076 0.3849  1 Sr 2.38
2 Rb 0.7500 0.2500 0.5000  4 F 2.91
3 F 0.3044 0.3044 0.0000  1 B 1.56
4 Sr 0.0000 0.0000 0.0000  6 F 2.38-2.43
5 F 0.3044 0.6956 0.0000  1 B 1.56
6 F 0.6956 0.6956 0.0000  1 B 1.56
7 F 0.1924 0.1924 0.6151  1 Sr 2.38
8 Rb 0.2500 0.7500 0.5000  4 F 2.91
9 F 0.6956 0.3044 0.0000  1 B 1.56
10 B 0.5000 0.5000 0.0000  4 F 1.56

VASP energy in Ry/atom: -0.3438
Uncorrected formation energy in eV per atom: -2.526
Magnetization in μB/f.u.: 0.76
Mass density in Mg/m³: 3.2